VASP calculation (PBE-GGA) on crystalline ScRh2Br at its relaxed geometry.

Output
energy above the most stable polymorph in this dataset	220	meV/atom
formation energy from raw total energies	-0.169	eV per atom

Lattice parameters (Å, degrees): 5.2634 5.2634 5.2634 136.85 136.85 62.67
With the nearest neighbours (Å) after each atom.
Element x y z (fractional)
Rh1 0.2500 0.7500 0.5000  4 Br 2.74, 4 Rh 2.97, 4 Sc 2.97
Rh2 0.0000 0.0000 0.0000  4 Sc 2.74, 4 Rh 2.97, 4 Br 2.97
Br1 0.7500 0.2500 0.5000  8 Rh 2.74-2.97, 4 Sc 2.97
Sc1 0.5000 0.5000 0.0000  8 Rh 2.74-2.97, 4 Br 2.97

VASP calculation (PBE-GGA) on crystalline ScRhBr2 at its relaxed geometry.

Output
energy above the most stable polymorph in this dataset	715	meV/atom
formation energy from raw total energies	-0.190	eV per atom

Lattice parameters (Å, degrees): 4.8385 4.8385 4.8385 60.00 60.00 60.00
With the nearest neighbours (Å) after each atom.
Element x y z (fractional)
Br1 0.2500 0.2500 0.2500  4 Br 2.96, 4 Rh 2.96
Br2 0.0000 0.0000 0.0000  4 Br 2.96, 4 Sc 2.96
Sc1 0.7500 0.7500 0.7500  4 Br 2.96, 4 Rh 2.96
Rh1 0.5000 0.5000 0.5000  4 Br 2.96, 4 Sc 2.96

VASP calculation (PBE-GGA) on crystalline Sc4RhBr at its relaxed geometry.

Output
formation energy from raw total energies	0.370	eV per atom

Lattice parameters (Å, degrees): 5.7422 5.7422 5.7422 60.00 60.00 60.00
With the nearest neighbours (Å) after each atom.
Element x y z (fractional)
Br1 0.7500 0.7500 0.7500  12 Sc 3.37, 4 Rh 3.52
Sc1 0.3731 0.3731 0.8806  6 Sc 2.83-2.91
Sc2 0.3731 0.8806 0.3731  6 Sc 2.83-2.91
Sc3 0.3731 0.3731 0.3731  6 Sc 2.83-2.91
Sc4 0.8806 0.3731 0.3731  6 Sc 2.83-2.91
Rh1 0.0000 0.0000 0.0000  12 Sc 3.36, 4 Br 3.52

VASP calculation (PBE-GGA) on crystalline ScRhBr2 at its relaxed geometry.

Output
energy above the most stable polymorph in this dataset	667	meV/atom
formation energy from raw total energies	-0.238	eV per atom

Lattice parameters (Å, degrees): 5.4755 5.4755 5.4755 144.04 115.39 76.21
With the nearest neighbours (Å) after each atom.
Element x y z (fractional)
Rh1 0.7500 0.2500 0.5000  4 Br 2.75
Br1 0.0010 0.0010 0.0000  2 Sc 2.73, 2 Rh 2.75
Br2 0.4990 0.4990 0.0000  2 Sc 2.73, 2 Rh 2.75
Sc1 0.2500 0.7500 0.5000  4 Br 2.73

VASP calculation (PBE-GGA) on crystalline Sc4RhBr5 at its relaxed geometry.

Output
formation energy from raw total energies	-1.310	eV per atom

Lattice parameters (Å, degrees): 3.7605 8.1171 9.0265 102.16 102.02 90.00
With the nearest neighbours (Å) after each atom.
Element x y z (fractional)
Br1 0.1678 0.3292 0.3355  3 Sc 2.75-2.84
Br2 0.5000 0.5000 0.0000  4 Sc 2.97
Br3 0.1761 0.8421 0.3521  4 Sc 2.79-3.11
Br4 0.8322 0.6708 0.6645  3 Sc 2.75-2.84
Br5 0.8239 0.1579 0.6479  4 Sc 2.79-3.11
Sc1 0.6470 0.0755 0.2939  1 Rh 2.53, 4 Br 2.75-2.79
Sc2 0.0041 0.2189 0.0081  2 Rh 2.58, 1 Br 2.84
Sc3 0.9959 0.7811 0.9919  2 Rh 2.58, 1 Br 2.84
Sc4 0.3530 0.9245 0.7061  1 Rh 2.53, 4 Br 2.75-2.79
Rh1 0.5000 0.0000 0.0000  6 Sc 2.53-2.58

VASP calculation (PBE-GGA) on crystalline ScRh2Br at its relaxed geometry.

Output
energy above the most stable polymorph in this dataset	267	meV/atom
formation energy from raw total energies	-0.123	eV per atom

Lattice parameters (Å, degrees): 8.2272 8.2272 8.2272 23.27 23.27 23.27
With the nearest neighbours (Å) after each atom.
Element x y z (fractional)
Rh1 0.9901 0.9901 0.9901  3 Rh 2.65
Rh2 0.2470 0.2470 0.2470  3 Sc 2.61, 3 Rh 2.65
Sc1 0.5065 0.5065 0.5065  3 Rh 2.61, 3 Br 2.77
Br1 0.7564 0.7564 0.7564  3 Sc 2.77, 3 Rh 3.06

VASP calculation (PBE-GGA) on crystalline ScRhBr2 at its relaxed geometry.

Output
energy above the most stable polymorph in this dataset	607	meV/atom
formation energy from raw total energies	-0.298	eV per atom

Lattice parameters (Å, degrees): 3.4027 5.6439 4.2428 90.00 90.00 90.00
With the nearest neighbours (Å) after each atom.
Element x y z (fractional)
Rh1 0.5000 0.0000 0.5000  4 Br 2.72
Sc1 0.0000 0.5000 0.5000  4 Br 2.72
Br1 0.5000 0.5000 0.0000  4 Sc 2.72
Br2 0.0000 0.0000 0.0000  4 Rh 2.72

VASP calculation (PBE-GGA) on crystalline ScRh2Br at its relaxed geometry.

Output
energy above the most stable polymorph in this dataset	0	meV/atom
formation energy from raw total energies	-0.390	eV per atom

Lattice parameters (Å, degrees): 3.4123 3.4049 7.1106 76.46 90.00 90.00
With the nearest neighbours (Å) after each atom.
Element x y z (fractional)
Sc1 0.0000 0.5822 0.4607  1 Rh 2.49
Br1 0.5000 0.9613 0.7059  4 Sc 2.94-2.95, 3 Rh 3.22-3.27
Rh1 0.5000 0.1959 0.2327  4 Rh 2.58, 4 Sc 2.88
Rh2 0.0000 0.7606 0.1007  1 Sc 2.49, 4 Rh 2.58

VASP calculation (PBE-GGA) on crystalline ScRh2Br at its relaxed geometry.

Output
energy above the most stable polymorph in this dataset	140	meV/atom
formation energy from raw total energies	-0.249	eV per atom

Lattice parameters (Å, degrees): 3.2671 3.2671 6.5905 90.00 90.00 90.00
With the nearest neighbours (Å) after each atom.
Element x y z (fractional)
Rh1 0.0000 0.0000 0.0262  4 Sc 2.74, 4 Br 2.94, 1 Rh 2.95
Rh2 0.0000 0.0000 0.4738  4 Sc 2.74, 4 Br 2.94, 1 Rh 2.95
Sc1 0.5000 0.5000 0.2500  8 Rh 2.74
Br1 0.5000 0.5000 0.7500  8 Rh 2.94, 4 Br 3.27

VASP calculation (PBE-GGA) on crystalline ScRhSe2Br at its relaxed geometry.

Output
energy above the most stable polymorph in this dataset	0	meV/atom
formation energy from raw total energies	-0.211	eV per atom

Lattice parameters (Å, degrees): 4.9365 4.9365 4.8422 90.00 90.00 90.00
With the nearest neighbours (Å) after each atom.
Element x y z (fractional)
Sc1 0.5000 0.5000 0.5000  8 Se 3.46, 4 Br 3.49
Se1 0.5000 0.0000 0.0000  2 Rh 2.47
Se2 0.0000 0.5000 0.0000  2 Rh 2.47
Rh1 0.0000 0.0000 0.0000  2 Br 2.42, 4 Se 2.47
Br1 0.0000 0.0000 0.5000  2 Rh 2.42

VASP calculation (PBE-GGA) on crystalline ScRhSe2Br at its relaxed geometry.

Output
energy above the most stable polymorph in this dataset	208	meV/atom
formation energy from raw total energies	-0.003	eV per atom

Lattice parameters (Å, degrees): 5.1691 5.1691 5.1131 90.00 90.00 90.00
With the nearest neighbours (Å) after each atom.
Element x y z (fractional)
Se1 0.5000 0.0000 0.0000  2 Sc 2.58
Se2 0.0000 0.5000 0.0000  2 Sc 2.58
Sc1 0.0000 0.0000 0.0000  2 Br 2.56, 4 Se 2.58
Br1 0.0000 0.0000 0.5000  2 Sc 2.56
Rh1 0.5000 0.5000 0.5000  8 Se 3.64, 4 Br 3.66

VASP calculation (PBE-GGA) on crystalline Sc2TlRhBr at its relaxed geometry.

Output
formation energy from raw total energies	1.051	eV per atom

Lattice parameters (Å, degrees): 5.4399 5.4399 5.4306 90.00 90.00 90.00
With the nearest neighbours (Å) after each atom.
Element x y z (fractional)
Rh1 0.5000 0.5000 0.5000  8 Sc 3.84, 4 Br 3.85
Sc1 0.5000 0.0000 0.0000  2 Tl 2.72
Sc2 0.0000 0.5000 0.0000  2 Tl 2.72
Tl1 0.0000 0.0000 0.0000  2 Br 2.72, 4 Sc 2.72
Br1 0.0000 0.0000 0.5000  2 Tl 2.72

VASP calculation (PBE-GGA) on crystalline Rh2SeBr at its relaxed geometry.

Output
energy above the most stable polymorph in this dataset	81	meV/atom
formation energy from raw total energies	0.044	eV per atom

Lattice parameters (Å, degrees): 3.9199 3.9199 6.3345 73.76 73.76 54.90
With the nearest neighbours (Å) after each atom.
Element x y z (fractional)
Rh1 0.4861 0.4861 0.5684  3 Se 2.46-2.47
Rh2 0.0139 0.0139 0.9316  3 Se 2.46-2.47
Se1 0.7500 0.7500 0.7500  6 Rh 2.46-2.47
Br1 0.2500 0.2500 0.2500  6 Rh 2.89-2.98

VASP calculation (PBE-GGA) on crystalline Rh2SeBr at its relaxed geometry.

Output
energy above the most stable polymorph in this dataset	341	meV/atom
formation energy from raw total energies	0.303	eV per atom

Lattice parameters (Å, degrees): 6.1517 6.1517 6.1517 150.36 141.66 49.20
With the nearest neighbours (Å) after each atom.
Element x y z (fractional)
Br1 0.2805 0.7805 0.5000  6 Rh 2.64-2.80
Rh1 0.9544 0.9544 0.0000  4 Se 2.74, 2 Br 2.80, 2 Rh 3.02
Rh2 0.7238 0.2238 0.5000  2 Se 2.58, 4 Br 2.64
Se1 0.5412 0.5412 0.0000  6 Rh 2.58-2.74

VASP calculation (PBE-GGA) on crystalline Rh2SeBr at its relaxed geometry.

Output
energy above the most stable polymorph in this dataset	111	meV/atom
formation energy from raw total energies	0.074	eV per atom

Lattice parameters (Å, degrees): 4.1538 4.4904 4.4897 66.58 90.00 90.00
With the nearest neighbours (Å) after each atom.
Element x y z (fractional)
Se1 0.0000 0.4279 0.4279  4 Rh 2.53-2.58
Br1 0.5000 0.8054 0.8053  4 Rh 2.52-2.68
Rh1 0.5000 0.2354 0.2352  2 Br 2.52, 2 Se 2.53, 2 Rh 2.58
Rh2 0.0000 0.0313 0.0317  2 Rh 2.58, 2 Se 2.58, 2 Br 2.68

no.,volume (Å³/f.u.),M_tot (μB/cell)
1,67.4,0.000
2,80.1,0.001
3,133.9,0.001
4,85.2,0.708
5,263.2,0.911
6,76.3,1.102
7,81.5,0.000
8,80.3,0.000
9,70.3,0.628
10,118.0,0.000
11,136.6,2.416
12,160.7,0.000
13,75.6,0.000
14,71.1,0.000
15,76.8,0.000